# Tb9Dy2Th | Alexandria | PBE | optimized geometry
data_Tb9Dy2Th
_chemical_formula_sum 'Tb9 Dy2 Th1'
_cell_length_a 5.036
_cell_length_b 5.036
_cell_length_c 15.089
_cell_angle_alpha 90.00
_cell_angle_beta 90.00
_cell_angle_gamma 90.00
_space_group_name_H-M_alt 'P 1'
_space_group_IT_number 1
_space_group_name_Hall 'P 1'
loop_
_atom_site_label
_atom_site_fract_x
_atom_site_fract_y
_atom_site_fract_z
Tb1 0.000 0.000 0.000
Tb2 0.000 0.000 0.335
Tb3 0.000 0.000 0.665
Tb4 0.000 0.500 0.165
Tb5 0.000 0.500 0.500
Tb6 0.000 0.500 0.835
Tb7 0.500 0.000 0.165
Tb8 0.500 0.000 0.500
Tb9 0.500 0.000 0.835
Dy1 0.500 0.500 0.333
Dy2 0.500 0.500 0.667
Th1 0.500 0.500 0.000
# E_form in meV/atom: 26
# D(E_F) in states/eV per cell: 18.1
# SG: P4/mmm, No. 123
# Magnetic moment in μB per formula unit: 0.0